# MnV2F6 | Alexandria | PBE+U | relaxed
# electronic total energy = -6.378 eV per atom
# total magnetization = 1.222 μB/atom
# DOS(E_F) = 0.000 states/eV/f.u.
data_MnV2F6
_chemical_formula_sum 'Mn1 V2 F6'
_symmetry_space_group_name_H-M 'P -3 1 m'
_symmetry_Int_Tables_number 162
_symmetry_space_group_name_Hall '-P 3 2'
_cell_length_a 5.4548
_cell_length_b 5.4548
_cell_length_c 4.5974
_cell_angle_alpha 90.00
_cell_angle_beta 90.00
_cell_angle_gamma 120.00
loop_
_atom_site_label
_atom_site_fract_x
_atom_site_fract_y
_atom_site_fract_z
Mn1 0.0000 0.0000 0.0000
V1 0.3333 0.6667 0.5000
F1 0.0000 0.3337 0.7404